# 1
VASP calculation (PBE) on crystalline Ce2AgAs3Rh4 at its relaxed geometry.

Lattice parameters (Å, degrees): 4.041 4.041 11.302 90.00 90.00 90.00
Fractional coordinates of all 10 atoms:
Ce 0.000 0.500 0.247
Ce 0.500 0.000 0.753
Ag 0.500 0.500 0.000
As 0.000 0.000 0.000
As 0.000 0.500 0.627
As 0.500 0.000 0.373
Rh 0.000 0.000 0.500
Rh 0.000 0.500 0.837
Rh 0.500 0.000 0.163
Rh 0.500 0.500 0.500

Output
- raw total energy (eV/atom) = -6.597



# 2
VASP calculation (PBE) on crystalline FeIrRu2 at its relaxed geometry.

Lattice parameters (Å, degrees): 5.202 5.202 5.202 148.64 130.51 59.77
Fractional coordinates of all 4 atoms:
Fe 0.000 0.000 0.000
Ir 0.500 0.500 0.000
Ru 0.223 0.723 0.500
Ru 0.777 0.277 0.500

Output
- raw total energy (eV/atom) = -8.721



# 3
VASP calculation (PBE) on crystalline Ta2AsOs at its relaxed geometry.

Lattice parameters (Å, degrees): 3.168 3.747 5.865 90.00 105.63 90.00
Fractional coordinates of all 4 atoms:
Ta 0.000 0.000 0.000
Ta 0.346 0.500 0.691
As 0.589 0.500 0.178
Os 0.743 0.000 0.483

Output
- raw total energy (eV/atom) = -10.105



# 4
VASP calculation (PBE) on crystalline Sr2AcCu at its relaxed geometry.

Lattice parameters (Å, degrees): 11.967 11.967 11.967 19.67 19.67 19.67
Fractional coordinates of all 4 atoms:
Sr 0.112 0.112 0.112
Sr 0.888 0.888 0.888
Ac 0.000 0.000 0.000
Cu 0.500 0.500 0.500

Output
- raw total energy (eV/atom) = -2.681



# 5
VASP calculation (PBE) on crystalline Mg2Ag2Pd7 at its relaxed geometry.

Lattice parameters (Å, degrees): 6.414 6.414 5.015 106.99 106.99 92.96
Fractional coordinates of all 11 atoms:
Mg 0.187 0.813 0.000
Mg 0.813 0.187 0.000
Ag 0.394 0.394 0.661
Ag 0.606 0.606 0.339
Pd 0.000 0.000 0.500
Pd 0.073 0.582 0.317
Pd 0.249 0.249 0.043
Pd 0.418 0.927 0.683
Pd 0.582 0.073 0.317
Pd 0.751 0.751 0.957
Pd 0.927 0.418 0.683

Output
- raw total energy (eV/atom) = -4.346



# 6
VASP calculation (PBE) on crystalline CeTmCdSn at its relaxed geometry.

Lattice parameters (Å, degrees): 5.328 5.328 5.328 60.00 60.00 60.00
Fractional coordinates of all 4 atoms:
Ce 0.000 0.000 0.000
Tm 0.500 0.500 0.500
Cd 0.750 0.750 0.750
Sn 0.250 0.250 0.250

Output
- raw total energy (eV/atom) = -4.249



# 7
VASP calculation (PBE) on crystalline GaPdRu3 at its relaxed geometry.

Lattice parameters (Å, degrees): 4.503 4.503 4.503 90.00 90.00 90.00
Fractional coordinates of all 5 atoms:
Ga 0.000 0.000 0.000
Pd 0.500 0.500 0.500
Ru 0.000 0.000 0.500
Ru 0.000 0.500 0.000
Ru 0.500 0.000 0.000

Output
- raw total energy (eV/atom) = -5.790



# 8
VASP calculation (PBE) on crystalline BaAgBS3 at its relaxed geometry.

Lattice parameters (Å, degrees): 6.988 6.988 10.184 90.00 90.00 147.39
Fractional coordinates of all 12 atoms:
Ba 0.201 0.799 0.750
Ba 0.799 0.201 0.250
Ag 0.500 0.500 0.000
Ag 0.500 0.500 0.500
B 0.091 0.909 0.250
B 0.909 0.091 0.750
S 0.154 0.846 0.092
S 0.154 0.846 0.408
S 0.488 0.512 0.250
S 0.512 0.488 0.750
S 0.846 0.154 0.592
S 0.846 0.154 0.908

Output
- energy relative to the elements, uncorrected (meV/atom) = -678.5



# 9
VASP calculation (PBE) on crystalline AcLaTb2 at its relaxed geometry.

Lattice parameters (Å, degrees): 6.598 5.502 9.062 90.00 99.28 90.00
Fractional coordinates of all 8 atoms:
Ac 0.106 0.000 0.216
Ac 0.894 0.000 0.784
La 0.000 0.500 0.500
La 0.500 0.000 0.000
Tb 0.244 0.500 0.898
Tb 0.347 0.000 0.631
Tb 0.653 0.000 0.369
Tb 0.756 0.500 0.102

Output
- raw total energy (eV/atom) = -4.135



# 10
VASP calculation (PBE) on crystalline Ac2PrSm4 at its relaxed geometry.

Lattice parameters (Å, degrees): 9.958 9.958 9.958 146.43 146.43 48.21
Fractional coordinates of all 7 atoms:
Ac 0.128 0.128 0.000
Ac 0.872 0.872 0.000
Pr 0.500 0.500 0.000
Sm 0.000 0.500 0.500
Sm 0.329 0.329 0.000
Sm 0.500 0.000 0.500
Sm 0.671 0.671 0.000

Output
- raw total energy (eV/atom) = -3.979



# 11
VASP calculation (PBE) on crystalline Cd12Ag7Au at its relaxed geometry.

Lattice parameters (Å, degrees): 8.857 8.857 8.857 109.47 109.47 109.47
Fractional coordinates of all 20 atoms:
Cd 0.119 0.851 0.268
Cd 0.149 0.268 0.417
Cd 0.149 0.732 0.881
Cd 0.268 0.119 0.851
Cd 0.268 0.417 0.149
Cd 0.417 0.149 0.268
Cd 0.583 0.851 0.732
Cd 0.732 0.583 0.851
Cd 0.732 0.881 0.149
Cd 0.851 0.268 0.119
Cd 0.851 0.732 0.583
Cd 0.881 0.149 0.732
Ag 0.000 0.000 0.500
Ag 0.000 0.500 0.000
Ag 0.000 0.500 0.500
Ag 0.500 0.000 0.000
Ag 0.500 0.000 0.500
Ag 0.500 0.500 0.000
Ag 0.500 0.500 0.500
Au 0.000 0.000 0.000

Output
- raw total energy (eV/atom) = -1.493



# 12
VASP calculation (PBE) on crystalline Fe2AuSe at its relaxed geometry.

Lattice parameters (Å, degrees): 4.498 4.498 4.498 60.00 60.00 60.00
Fractional coordinates of all 4 atoms:
Fe 0.000 0.000 0.000
Fe 0.250 0.250 0.250
Au 0.500 0.500 0.500
Se 0.750 0.750 0.750

Output
- energy relative to the elements, uncorrected (meV/atom) = 494.4



# 13
VASP calculation (PBE) on crystalline Nd4ZnRh4 at its relaxed geometry.

Lattice parameters (Å, degrees): 8.606 8.606 5.673 90.00 90.00 90.00
Fractional coordinates of all 18 atoms:
Nd 0.041 0.684 0.113
Nd 0.184 0.959 0.613
Nd 0.316 0.541 0.613
Nd 0.459 0.816 0.113
Nd 0.541 0.184 0.887
Nd 0.684 0.459 0.387
Nd 0.816 0.041 0.387
Nd 0.959 0.316 0.887
Zn 0.250 0.250 0.250
Zn 0.750 0.750 0.750
Rh 0.000 0.360 0.390
Rh 0.000 0.640 0.610
Rh 0.140 0.000 0.110
Rh 0.360 0.500 0.110
Rh 0.500 0.140 0.390
Rh 0.500 0.860 0.610
Rh 0.640 0.500 0.890
Rh 0.860 0.000 0.890

Output
- raw total energy (eV/atom) = -6.075



# 14
VASP calculation (PBE) on crystalline EuPaC2 at its relaxed geometry.

Lattice parameters (Å, degrees): 6.357 6.357 6.357 33.51 33.51 33.51
Fractional coordinates of all 4 atoms:
Eu 0.000 0.000 0.000
Pa 0.500 0.500 0.500
C 0.235 0.235 0.235
C 0.765 0.765 0.765

Output
- raw total energy (eV/atom) = -9.603



# 15
VASP calculation (PBE) on crystalline FeTc2Ni at its relaxed geometry.

Lattice parameters (Å, degrees): 4.602 4.602 2.579 90.00 90.00 110.75
Fractional coordinates of all 4 atoms:
Fe 0.000 0.000 0.000
Tc 0.000 0.500 0.500
Tc 0.500 0.000 0.500
Ni 0.500 0.500 0.000

Output
- raw total energy (eV/atom) = -8.672



# 16
VASP calculation (PBE) on crystalline Pr2Dy8Al at its relaxed geometry.

Lattice parameters (Å, degrees): 9.781 9.781 9.781 147.68 134.88 56.58
Fractional coordinates of all 11 atoms:
Pr 0.193 0.193 0.000
Pr 0.807 0.807 0.000
Dy 0.105 0.368 0.737
Dy 0.257 0.000 0.257
Dy 0.320 0.820 0.500
Dy 0.369 0.632 0.737
Dy 0.631 0.368 0.263
Dy 0.680 0.180 0.500
Dy 0.743 0.000 0.743
Dy 0.895 0.632 0.263
Al 0.500 0.500 0.000

Output
- raw total energy (eV/atom) = -4.530



# 17
VASP calculation (PBE) on crystalline Ba2Li2Pt at its relaxed geometry.

Lattice parameters (Å, degrees): 7.337 7.337 5.237 90.00 90.00 90.00
Fractional coordinates of all 10 atoms:
Ba 0.195 0.305 0.000
Ba 0.305 0.805 0.000
Ba 0.695 0.195 0.000
Ba 0.805 0.695 0.000
Li 0.139 0.639 0.500
Li 0.361 0.139 0.500
Li 0.639 0.861 0.500
Li 0.861 0.361 0.500
Pt 0.000 0.000 0.500
Pt 0.500 0.500 0.500

Output
- raw total energy (eV/atom) = -2.853



# 18
VASP calculation (PBE) on crystalline Rb2As2Au7 at its relaxed geometry.

Lattice parameters (Å, degrees): 6.871 6.871 6.916 107.54 107.54 68.29
Fractional coordinates of all 11 atoms:
Rb 0.231 0.769 0.000
Rb 0.769 0.231 0.000
As 0.237 0.237 0.662
As 0.763 0.763 0.338
Au 0.000 0.000 0.500
Au 0.176 0.535 0.417
Au 0.279 0.279 0.043
Au 0.465 0.824 0.583
Au 0.535 0.176 0.417
Au 0.721 0.721 0.957
Au 0.824 0.465 0.583

Output
- raw total energy (eV/atom) = -3.265



# 19
VASP calculation (PBE) on crystalline ScTcPt2 at its relaxed geometry.

Lattice parameters (Å, degrees): 4.895 4.895 2.826 90.00 90.00 110.18
Fractional coordinates of all 4 atoms:
Sc 0.000 0.000 0.000
Tc 0.500 0.500 0.000
Pt 0.000 0.500 0.500
Pt 0.500 0.000 0.500

Output
- raw total energy (eV/atom) = -7.829



# 20
VASP calculation (PBE) on crystalline CrH2Ir at its relaxed geometry.

Lattice parameters (Å, degrees): 5.073 5.073 5.073 32.13 32.13 32.13
Fractional coordinates of all 4 atoms:
Cr 0.000 0.000 0.000
H 0.379 0.379 0.379
H 0.621 0.621 0.621
Ir 0.500 0.500 0.500

Output
- raw total energy (eV/atom) = -6.176



For each record above, in turn, the calculated size of the total moment values are 0.244, 2.879, 0.000, 0.000, 0.000, 1.068, 2.936, 0.000, 0.000, 0.000, 0.000, 6.120, 0.000, 6.619, 1.627, 0.000, 0.000, 0.000, 0.000, 1.697 μB/f.u..